VASP calculation (PBE) on a relaxed structure of Sr2Al7Ge.

## Properties
* spin magnetization: 0.0 μB/f.u.
* formation energy from the elements: -254 meV/atom
* volume: 222.21 Å³ per cell
* excess energy over the best structure of this formula in the dataset: 0 meV/atom
* DOS(E_F): 2.8 states/eV/f.u.
* space-group type: P4mm, No. 99

abc: 4.468 4.468 11.131
angles: 90.00 90.00 90.00
Fractional positions:
Al: 0.500 0.000 0.750
Al: 0.000 0.000 0.617
Al: 0.000 0.000 0.381
Al: 0.000 0.500 0.750
Al: 0.500 0.000 0.251
Al: 0.500 0.500 0.883
Al: 0.000 0.500 0.251
Sr: 0.500 0.500 0.503
Sr: 0.000 0.000 0.998
Ge: 0.500 0.500 0.116



VASP calculation (PBE) on a relaxed structure of SrAlGe.

## Properties
* spin magnetization: 0.0 μB/f.u.
* formation energy from the elements: -344 meV/atom
* volume: 327.49 Å³ per cell
* DOS(E_F): 1.5 states/eV/f.u.
* space-group type: Pnma, No. 62

abc: 4.776 7.388 9.280
angles: 90.00 90.00 90.00
Fractional positions:
Sr: 0.750 0.134 0.655
Sr: 0.250 0.366 0.155
Sr: 0.750 0.634 0.845
Sr: 0.250 0.866 0.345
Al: 0.750 0.001 0.081
Al: 0.250 0.499 0.581
Al: 0.750 0.501 0.419
Al: 0.250 0.999 0.919
Ge: 0.750 0.662 0.180
Ge: 0.250 0.838 0.680
Ge: 0.750 0.162 0.320
Ge: 0.250 0.338 0.820



VASP calculation (PBE) on a relaxed structure of Sr2Al2Ge.

## Properties
* spin magnetization: 0.0 μB/f.u.
* formation energy from the elements: 383 meV/atom
* volume: 166.66 Å³ per cell
* DOS(E_F): 2.1 states/eV/f.u.
* space-group type: I4/mmm, No. 139

abc: 5.096 5.096 7.360
angles: 69.74 69.74 90.00
Fractional positions:
Ge: 0.000 0.000 0.000
Al: 0.406 0.406 0.187
Al: 0.594 0.594 0.813
Sr: 0.250 0.750 0.500
Sr: 0.750 0.250 0.500



VASP calculation (PBE) on a relaxed structure of SrAl2Ge2.

## Properties
* spin magnetization: 0.0 μB/f.u.
* formation energy from the elements: -399 meV/atom
* volume: 117.74 Å³ per cell
* DOS(E_F): 0.2 states/eV/f.u.
* space-group type: P-3m1, No. 164

abc: 4.262 4.262 7.484
angles: 90.00 90.00 120.00
Fractional positions:
Al: 0.667 0.333 0.376
Al: 0.333 0.667 0.624
Ge: 0.333 0.667 0.272
Ge: 0.667 0.333 0.728
Sr: 0.000 0.000 0.000



VASP calculation (PBE) on a relaxed structure of Sr8Al2Ge.

## Properties
* spin magnetization: 0.1 μB/f.u.
* formation energy from the elements: -78 meV/atom
* volume: 415.62 Å³ per cell
* DOS(E_F): 7.7 states/eV/f.u.
* space-group type: Immm, No. 71

abc: 5.589 9.043 9.792
angles: 117.50 106.60 90.00
Fractional positions:
Al: 0.814 0.314 0.628
Al: 0.186 0.686 0.372
Ge: 0.500 0.000 0.000
Sr: 0.659 0.882 0.318
Sr: 0.659 0.436 0.318
Sr: 0.858 0.858 0.716
Sr: 0.000 0.687 0.000
Sr: 0.142 0.142 0.284
Sr: 0.341 0.118 0.682
Sr: 0.000 0.313 0.000
Sr: 0.341 0.564 0.682



VASP calculation (PBE) on a relaxed structure of Sr2Al3Ge4.

## Properties
* spin magnetization: 0.0 μB/f.u.
* formation energy from the elements: -347 meV/atom
* volume: 388.71 Å³ per cell
* DOS(E_F): 3.1 states/eV/f.u.
* space-group type: Cmce, No. 64

abc: 6.089 8.091 8.457
angles: 90.00 111.10 90.00
Fractional positions:
Sr: 0.387 0.086 0.775
Sr: 0.613 0.914 0.225
Sr: 0.113 0.586 0.225
Sr: 0.887 0.414 0.775
Al: 0.467 0.250 0.434
Al: 0.967 0.250 0.434
Al: 0.033 0.750 0.566
Al: 0.000 0.000 0.000
Al: 0.533 0.750 0.566
Al: 0.500 0.500 0.000
Ge: 0.196 0.750 0.892
Ge: 0.187 0.954 0.375
Ge: 0.813 0.046 0.625
Ge: 0.687 0.546 0.375
Ge: 0.696 0.750 0.892
Ge: 0.304 0.250 0.108
Ge: 0.804 0.250 0.108
Ge: 0.313 0.454 0.625



VASP calculation (PBE) on a relaxed structure of SrAl2Ge2.

## Properties
* spin magnetization: 0.0 μB/f.u.
* formation energy from the elements: -79 meV/atom
* volume: 214.66 Å³ per cell
* DOS(E_F): 1.8 states/eV/f.u.
* space-group type: P4/mbm, No. 127

abc: 7.960 7.960 3.388
angles: 90.00 90.00 90.00
Fractional positions:
Al: 0.619 0.119 0.000
Al: 0.381 0.881 0.000
Al: 0.881 0.619 0.000
Al: 0.119 0.381 0.000
Ge: 0.337 0.163 0.500
Ge: 0.663 0.837 0.500
Ge: 0.837 0.337 0.500
Ge: 0.163 0.663 0.500
Sr: 0.000 0.000 0.000
Sr: 0.500 0.500 0.000



VASP calculation (PBE) on a relaxed structure of Sr2TaAlGe.

## Properties
* spin magnetization: 0.3 μB/f.u.
* formation energy from the elements: 844 meV/atom
* volume: 169.74 Å³ per cell
* DOS(E_F): 6.1 states/eV/f.u.
* space-group type: P4/mmm, No. 123

abc: 5.848 5.848 4.963
angles: 90.00 90.00 90.00
Last column: magnetic moment on the atom in μB.
Fractional positions:
Ta: 0.000 0.000 0.500  0.29
Al: 0.000 0.000 0.000  0.00
Sr: 0.500 0.000 0.000  0.00
Sr: 0.000 0.500 0.000  0.00
Ge: 0.500 0.500 0.500  -0.05